# 1
Here is a relaxed structure of SrC3 from Alexandria via LeMat-Bulk. Energies are from GGA-PBE.

Geometry as POSCAR:
```
SrC3
1.0
-3.527 0.373 2.930
1.258 -4.283 1.112
1.079 4.457 0.368
Sr C
1 3
Direct
0.625 0.000 0.625
0.230 0.114 0.116
0.003 0.886 0.116
0.976 0.500 0.476
```

## Properties
**Crystal system**: orthorhombic
**V**: 13.32 A^3/atom
**Formation enthalpy at 0 K**: 5.1 eV/f.u.
**E above lowest polymorph**: 0.695 eV per atom


# 2
Here is a relaxed structure of MgScN2F from Alexandria via LeMat-Bulk. Energies are from GGA-PBE.

Geometry as POSCAR:
```
MgScN2F
1.0
3.930 0.000 0.000
0.000 3.930 0.000
0.000 0.000 3.729
Sc Mg N F
1 1 2 1
Direct
0.500 0.500 0.500
0.000 0.000 0.000
0.000 0.500 0.000
0.500 0.000 0.000
0.000 0.000 0.500
```

## Properties
**Crystal system**: tetragonal
**V**: 11.52 A^3/atom
**Energy relative to the elements, uncorrected**: -0.636 eV per atom
**E above lowest polymorph**: 0.085 eV per atom


# 3
Here is a relaxed structure of LiThBe17 from Alexandria via LeMat-Bulk. Energies are from GGA-PBE.

Geometry as POSCAR:
```
LiThBe17
1.0
-2.848 4.071 -3.061
0.393 -2.664 -5.177
-5.234 -2.575 0.178
Li Th Be
1 1 17
Direct
0.337 0.337 0.337
0.653 0.653 0.653
0.278 0.006 0.720
0.720 0.278 0.006
0.006 0.720 0.278
0.278 0.720 0.006
0.006 0.278 0.720
0.720 0.006 0.278
0.333 0.861 0.333
0.333 0.333 0.861
0.861 0.333 0.333
0.662 0.154 0.662
0.662 0.662 0.154
0.154 0.662 0.662
0.994 0.506 0.994
0.994 0.994 0.506
0.506 0.994 0.994
0.905 0.905 0.905
0.097 0.097 0.097
```

## Properties
**Crystal system**: trigonal
**V**: 10.27 A^3/atom
**Formation enthalpy at 0 K**: 0.6 eV/f.u.


# 4
Here is a relaxed structure of P2IrAu from Alexandria via LeMat-Bulk. Energies are from GGA-PBE.

Geometry as POSCAR:
```
P2IrAu
1.0
-2.187 1.472 0.991
-0.016 -2.815 0.061
3.986 0.162 8.552
Au Ir P
1 1 2
Direct
0.000 0.000 0.503
0.500 0.500 0.773
0.000 0.000 0.975
0.500 0.500 0.249
```

## Properties
**Crystal system**: orthorhombic
**V**: 16.09 A^3/atom
**Formation enthalpy at 0 K**: 1.6 eV/f.u.
**E above lowest polymorph**: 0.634 eV per atom


# 5
Here is a relaxed structure of BePdSe from Alexandria via LeMat-Bulk. Energies are from GGA-PBE.

Geometry as POSCAR:
```
BePdSe
1.0
-3.411 -1.740 0.217
-0.156 -3.615 0.998
0.593 2.121 7.772
Be Pd Se
2 2 2
Direct
0.487 0.775 0.894
0.005 0.016 0.298
0.160 0.938 0.598
0.394 0.322 0.394
0.109 0.464 0.819
0.602 0.718 0.182
```

## Properties
**Crystal system**: monoclinic
**V**: 16.72 A^3/atom
**Energy relative to the elements, uncorrected**: -0.299 eV per atom


# 6
Here is a relaxed structure of KSrI from Alexandria via LeMat-Bulk. Energies are from GGA-PBE.

Geometry as POSCAR:
```
KSrI
1.0
-3.536 -0.884 2.688
3.073 -3.221 -0.832
4.462 2.527 6.701
I Sr K
1 1 1
Direct
0.333 0.667 0.660
0.667 0.333 0.381
0.000 0.000 0.959
```

## Properties
**Crystal system**: trigonal
**V**: 49.96 A^3/atom
**Energy relative to the elements, uncorrected**: -0.806 eV per atom
**E above lowest polymorph**: 0.000 eV per atom


# 7
Here is a relaxed structure of BaSmInPb from Alexandria via LeMat-Bulk. Energies are from GGA-PBE.

Geometry as POSCAR:
```
BaSmInPb
1.0
-2.770 4.682 -1.909
-0.427 0.988 -5.664
-5.094 -0.542 -2.645
Pb Ba Sm In
1 1 1 1
Direct
0.500 0.500 0.500
0.750 0.750 0.750
0.250 0.250 0.250
0.000 0.000 0.000
```

## Properties
**Crystal system**: cubic
**V**: 33.87 A^3/atom
**Formation enthalpy at 0 K**: -1.4 eV/f.u.


# 8
Here is a relaxed structure of Cd2PbBr from Alexandria via LeMat-Bulk. Energies are from GGA-PBE.

Geometry as POSCAR:
```
Cd2PbBr
1.0
-1.587 -2.637 1.825
-0.291 -0.705 -3.496
7.923 -4.584 0.266
Pb Br Cd
1 1 2
Direct
0.000 0.000 0.494
0.500 0.500 0.776
0.000 0.000 0.001
0.500 0.500 0.228
```

## Properties
**Crystal system**: orthorhombic
**V**: 27.80 A^3/atom
**Energy relative to the elements, uncorrected**: -0.127 eV per atom
**E above lowest polymorph**: 0.052 eV per atom


# 9
Here is a relaxed structure of Nd3Sc2Sn3 from Alexandria via LeMat-Bulk. Energies are from GGA-PBE.

Geometry as POSCAR:
```
Nd3Sc2Sn3
1.0
6.393 0.000 0.000
0.000 7.814 -4.511
0.000 0.000 9.022
Nd Sc Sn
6 4 6
Direct
0.750 0.243 0.000
0.750 0.757 0.757
0.750 0.000 0.243
0.250 0.757 0.000
0.250 0.243 0.243
0.250 0.000 0.757
0.000 0.333 0.667
0.500 0.667 0.333
0.000 0.667 0.333
0.500 0.333 0.667
0.750 0.598 0.000
0.750 0.402 0.402
0.750 0.000 0.598
0.250 0.402 0.000
0.250 0.598 0.598
0.250 0.000 0.402
```

## Properties
**Crystal system**: hexagonal
**V**: 28.17 A^3/atom
**Formation enthalpy at 0 K**: -5.5 eV/f.u.


# 10
Here is a relaxed structure of Ge3SeO from Alexandria via LeMat-Bulk. Energies are from GGA-PBE.

Geometry as POSCAR:
```
Ge3SeO
1.0
-1.377 -4.322 -0.492
4.339 -1.328 -0.471
0.303 -0.610 4.511
Ge O Se
3 1 1
Direct
0.000 0.500 0.000
0.000 0.000 0.500
0.500 0.000 0.000
0.000 0.000 0.000
0.500 0.500 0.500
```

## Properties
**Crystal system**: cubic
**V**: 18.99 A^3/atom
**Energy relative to the elements, uncorrected**: 0.048 eV per atom
**E above lowest polymorph**: 0.000 eV per atom


# 11
Here is a relaxed structure of TiInH2N from Alexandria via LeMat-Bulk. Energies are from GGA-PBE.

Geometry as POSCAR:
```
TiInH2N
1.0
3.966 0.000 0.000
0.000 3.894 0.000
0.000 0.000 3.966
H N Ti In
2 1 1 1
Direct
0.000 0.000 0.500
0.500 0.000 0.000
0.000 0.000 0.000
0.000 0.500 0.000
0.500 0.500 0.500
```

## Properties
**Crystal system**: tetragonal
**V**: 12.25 A^3/atom
**E above lowest polymorph**: 0.000 eV per atom


# 12
Here is a relaxed structure of MnCd2Hg from Alexandria via LeMat-Bulk. Energies are from GGA-PBE.

Geometry as POSCAR:
```
MnCd2Hg
1.0
5.210 0.090 0.000
1.448 5.006 0.000
-3.329 -2.548 3.095
Cd Hg Mn
2 1 1
Direct
0.000 0.000 0.000
0.250 0.750 0.500
0.500 0.500 0.000
0.750 0.250 0.500
```

## Properties
**Crystal system**: tetragonal
**V**: 20.08 A^3/atom
**Formation enthalpy at 0 K**: 0.9 eV/f.u.


# 13
Here is a relaxed structure of Pa3H from Alexandria via LeMat-Bulk. Energies are from GGA-PBE.

Geometry as POSCAR:
```
Pa3H
1.0
3.114 0.000 0.000
0.000 3.122 0.000
0.000 0.000 8.022
H Pa
1 3
Direct
0.000 0.000 0.001
0.000 0.500 0.451
0.500 0.500 0.120
0.500 0.000 0.762
```

## Properties
**Crystal system**: orthorhombic
**V**: 19.50 A^3/atom
**E above lowest polymorph**: 0.093 eV per atom


# 14
Here is a relaxed structure of La4TlZn2Cu from Alexandria via LeMat-Bulk. Energies are from GGA-PBE.

Geometry as POSCAR:
```
La4TlZn2Cu
1.0
5.369 0.000 0.000
2.684 4.649 0.000
2.684 1.550 8.782
La Tl Zn Cu
4 1 2 1
Direct
0.382 0.382 0.853
0.867 0.867 0.398
0.133 0.133 0.602
0.618 0.618 0.147
0.000 0.000 0.000
0.746 0.746 0.763
0.254 0.254 0.237
0.500 0.500 0.500
```

## Properties
**Crystal system**: trigonal
**V**: 27.40 A^3/atom
**Formation enthalpy at 0 K**: -2.3 eV/f.u.


# 15
Here is a relaxed structure of BaNi2Ir from Alexandria via LeMat-Bulk. Energies are from GGA-PBE.

Geometry as POSCAR:
```
BaNi2Ir
1.0
-1.244 -2.905 -2.808
2.588 0.609 -1.777
3.967 -3.972 2.351
Ba Ir Ni
1 1 2
Direct
0.500 0.250 0.250
0.500 0.750 0.750
0.000 0.964 0.894
0.000 0.536 0.606
```

## Properties
**Crystal system**: monoclinic
**V**: 20.20 A^3/atom
**Formation enthalpy at 0 K**: 1.7 eV/f.u.
**E above lowest polymorph**: 0.538 eV per atom


# 16
Here is a relaxed structure of La5Hg from Alexandria via LeMat-Bulk. Energies are from GGA-PBE.

Geometry as POSCAR:
```
La5Hg
1.0
-5.485 1.850 2.374
2.110 -5.780 1.134
2.718 1.929 4.777
Hg La
1 5
Direct
0.667 0.667 0.500
0.977 0.977 0.000
0.667 0.356 0.000
0.356 0.667 0.000
0.333 0.000 0.500
0.000 0.333 0.500
```

## Properties
**Crystal system**: hexagonal
**V**: 32.91 A^3/atom
**Formation enthalpy at 0 K**: -0.6 eV/f.u.
**E above lowest polymorph**: 0.065 eV per atom


# 17
Here is a relaxed structure of Zr2Ti2InRh5 from Alexandria via LeMat-Bulk. Energies are from GGA-PBE.

Geometry as POSCAR:
```
Zr2Ti2InRh5
1.0
-0.665 -3.294 1.598
8.899 -2.864 -2.199
3.176 3.427 8.390
Zr Ti In Rh
4 4 2 10
Direct
0.000 0.678 0.178
0.000 0.322 0.822
0.000 0.178 0.322
0.000 0.822 0.678
0.000 0.120 0.620
0.000 0.880 0.380
0.000 0.620 0.880
0.000 0.380 0.120
0.000 0.000 0.000
0.000 0.500 0.500
0.500 0.211 0.066
0.500 0.789 0.934
0.500 0.066 0.789
0.500 0.711 0.434
0.500 0.934 0.211
0.500 0.289 0.566
0.500 0.566 0.711
0.500 0.434 0.289
0.500 0.500 0.000
0.500 0.000 0.500
```

## Properties
**Crystal system**: tetragonal
**V**: 17.16 A^3/atom
**Formation enthalpy at 0 K**: -5.3 eV/f.u.


# 18
Here is a relaxed structure of LaGa3Cu from Alexandria via LeMat-Bulk. Energies are from GGA-PBE.

Geometry as POSCAR:
```
LaGa3Cu
1.0
5.700 0.000 0.000
0.000 6.308 0.000
0.000 -3.154 5.463
La Ga Cu
2 6 2
Direct
0.750 0.667 0.333
0.250 0.333 0.667
0.750 0.617 0.809
0.250 0.809 0.617
0.250 0.383 0.191
0.750 0.191 0.383
0.250 0.808 0.191
0.750 0.192 0.809
0.000 0.000 0.000
0.500 0.000 0.000
```

## Properties
**Crystal system**: hexagonal
**V**: 19.64 A^3/atom
**Formation enthalpy at 0 K**: -2.2 eV/f.u.
**E above lowest polymorph**: 0.119 eV per atom


# 19
Here is a relaxed structure of ZnSi2GeAs from Alexandria via LeMat-Bulk. Energies are from GGA-PBE.

Geometry as POSCAR:
```
ZnSi2GeAs
1.0
4.887 0.000 0.000
0.000 4.673 0.000
0.000 0.000 4.887
Zn As Si Ge
1 1 2 1
Direct
0.000 0.500 0.000
0.000 0.000 0.000
0.000 0.000 0.500
0.500 0.000 0.000
0.500 0.500 0.500
```

## Properties
**Crystal system**: tetragonal
**V**: 22.31 A^3/atom
**Energy relative to the elements, uncorrected**: 0.870 eV per atom


# 20
Here is a relaxed structure of AsPtSe2 from Alexandria via LeMat-Bulk. Energies are from GGA-PBE.

Geometry as POSCAR:
```
AsPtSe2
1.0
3.273 0.000 0.000
0.000 3.273 0.000
0.000 0.000 6.924
As Se Pt
1 2 1
Direct
0.500 0.500 0.250
0.000 0.000 0.984
0.000 0.000 0.516
0.500 0.500 0.750
```

## Properties
**Crystal system**: tetragonal
**V**: 18.54 A^3/atom
**Energy relative to the elements, uncorrected**: 0.392 eV per atom